A plane-wave DFT calculation with GGA-PBE was carried out for an optimized crystal structure of LiYSeI2.

Computed properties:
energy	-18.08	eV per formula unit
density	5.12	Mg/m³
formation energy without anion corrections	-623	meV per atom
DOS at the Fermi energy	0.183	states/eV per cell

Cell: 5.1501 5.1501 5.2426 Å, 90.00 90.00 90.00°
Space group P4/mmm (No. 123)
Symmetry-distinct sites (fractional):
Li1 0.0000 0.0000 0.0000 (multiplicity 1)
Y1 0.5000 0.5000 0.5000 (multiplicity 1)
Se1 0.0000 0.0000 0.5000 (multiplicity 1)
I1 0.0000 0.5000 0.0000 (multiplicity 2)